Record 1
The following is a GGA-PBE calculation of a geometry-optimized NaCuBr2 structure, from the Alexandria database.

Geometry as POSCAR:
```
NaCuBr2
1.0
7.078 0.000 0.000
0.000 7.078 0.000
0.000 0.000 7.078
Na Cu Br
4 4 8
direct
0.000 0.000 0.000
0.000 0.500 0.500
0.500 0.000 0.500
0.500 0.500 0.000
0.000 0.000 0.500
0.000 0.500 0.000
0.500 0.000 0.000
0.500 0.500 0.500
0.250 0.250 0.250
0.250 0.250 0.750
0.250 0.750 0.250
0.250 0.750 0.750
0.750 0.250 0.250
0.750 0.250 0.750
0.750 0.750 0.250
0.750 0.750 0.750
```

Summary:
Density of states at the Fermi level, states/eV/atom: 0.000
Space-group type: Fm-3m
E_tot, eV/atom: -2.715
Energy above the lowest structure with this stoichiometry, meV/atom: 347

---

Record 2
The following is a GGA-PBE calculation of a geometry-optimized NaCuBr2 structure, from the Alexandria database.

Geometry as POSCAR:
```
NaCuBr2
1.0
6.318 0.000 0.000
0.000 6.318 0.000
0.000 0.000 11.550
Na Cu Br
4 4 8
direct
0.000 0.000 0.000
0.000 0.500 0.250
0.500 0.000 0.750
0.500 0.500 0.500
0.000 0.000 0.500
0.000 0.500 0.750
0.500 0.000 0.250
0.500 0.500 0.000
0.199 0.250 0.625
0.250 0.699 0.875
0.250 0.801 0.375
0.301 0.250 0.125
0.699 0.750 0.125
0.750 0.199 0.375
0.750 0.301 0.875
0.801 0.750 0.625
```

Summary:
Density of states at the Fermi level, states/eV/atom: 0.000
Space-group type: I-42d
E_tot, eV/atom: -3.053
Energy above the lowest structure with this stoichiometry, meV/atom: 8

---

Record 3
The following is a GGA-PBE calculation of a geometry-optimized Na2CuBr structure, from the Alexandria database.

Geometry as POSCAR:
```
Na2CuBr
1.0
7.573 0.000 0.000
0.000 7.573 0.000
0.000 0.000 8.618
Na Cu Br
8 4 4
direct
0.242 0.250 0.125
0.250 0.742 0.375
0.250 0.758 0.875
0.258 0.250 0.625
0.742 0.750 0.625
0.750 0.242 0.875
0.750 0.258 0.375
0.758 0.750 0.125
0.000 0.000 0.500
0.000 0.500 0.750
0.500 0.000 0.250
0.500 0.500 0.000
0.000 0.000 0.000
0.000 0.500 0.250
0.500 0.000 0.750
0.500 0.500 0.500
```

Summary:
Density of states at the Fermi level, states/eV/atom: 0.000
Space-group type: I-42d
E_tot, eV/atom: -2.466
Energy above the lowest structure with this stoichiometry, meV/atom: 0

---

Record 4
The following is a GGA-PBE calculation of a geometry-optimized Na6CuBr8 structure, from the Alexandria database.

Geometry as POSCAR:
```
Na6CuBr8
1.0
0.000 5.965 5.965
5.965 0.000 5.965
5.965 5.965 0.000
Na Cu Br
6 1 8
direct
0.000 0.000 0.500
0.000 0.500 0.000
0.000 0.500 0.500
0.500 0.000 0.000
0.500 0.000 0.500
0.500 0.500 0.000
0.000 0.000 0.000
0.223 0.223 0.777
0.223 0.777 0.223
0.223 0.777 0.777
0.250 0.250 0.250
0.750 0.750 0.750
0.777 0.223 0.223
0.777 0.223 0.777
0.777 0.777 0.223
```

Summary:
Density of states at the Fermi level, states/eV/atom: 0.383
Space-group type: Fm-3m
E_tot, eV/atom: -2.969